NaDyAsO: optimized geometry, PBE-GGA.

Structure (POSCAR):
```
NaDyAsO
1.0
3.559 0.000 0.000
0.000 8.112 0.000
0.000 0.000 6.582
Na Dy As O
2 2 2 2
Direct
0.000 0.209 0.000 Na
0.000 0.791 0.500 Na
0.500 0.391 0.591 Dy
0.500 0.609 0.091 Dy
0.000 0.146 0.443 As
0.000 0.854 0.943 As
0.500 0.392 0.914 O
0.500 0.608 0.414 O
```

Calculated density, g/cm3: 4.8
Total moment, μB per formula unit: 0.02
Energy above the most stable polymorph in this dataset, meV/atom: 268.1

=====

KNi2Se3: optimized geometry, PBE-GGA.

Structure (POSCAR):
```
KNi2Se3
1.0
1.824 -7.219 0.000
1.824 7.219 0.000
0.000 0.000 10.004
K Ni Se
2 4 6
Direct
0.246 0.754 0.750 K
0.754 0.246 0.250 K
0.050 0.950 0.250 Ni
0.500 0.500 0.000 Ni
0.500 0.500 0.500 Ni
0.950 0.050 0.750 Ni
0.111 0.889 0.034 Se
0.111 0.889 0.466 Se
0.454 0.546 0.250 Se
0.546 0.454 0.750 Se
0.889 0.111 0.534 Se
0.889 0.111 0.966 Se
```

Calculated density, g/cm3: 5.0
Total moment, μB per formula unit: 0.01
Raw total energy, eV/atom: -4.21

=====

Y4Hf2Cd3C3: optimized geometry, PBE-GGA.

Structure (POSCAR):
```
Y4Hf2Cd3C3
1.0
5.236 -3.034 0.000
5.236 3.034 0.000
-3.408 0.000 15.724
Y Hf Cd C
8 4 6 6
Direct
0.039 0.186 0.091 Y
0.128 0.304 0.409 Y
0.186 0.039 0.591 Y
0.304 0.128 0.909 Y
0.696 0.872 0.091 Y
0.814 0.961 0.409 Y
0.872 0.696 0.591 Y
0.961 0.814 0.909 Y
0.346 0.523 0.071 Hf
0.477 0.654 0.429 Hf
0.523 0.346 0.571 Hf
0.654 0.477 0.929 Hf
0.137 0.863 0.250 Cd
0.294 0.421 0.750 Cd
0.421 0.294 0.250 Cd
0.579 0.706 0.750 Cd
0.706 0.579 0.250 Cd
0.863 0.137 0.750 Cd
0.000 0.500 0.000 C
0.197 0.652 0.500 C
0.348 0.803 0.000 C
0.500 0.000 0.500 C
0.652 0.197 0.000 C
0.803 0.348 0.500 C
```

Calculated density, g/cm3: 7.2
Total moment, μB per formula unit: 1.29
Raw total energy, eV/atom: -6.74

=====

Ho2Cd3O3: optimized geometry, PBE-GGA.

Structure (POSCAR):
```
Ho2Cd3O3
1.0
2.504 1.446 7.878
-2.504 1.446 7.878
0.000 -2.892 7.878
Ho Cd O
2 3 3
Direct
0.202 0.202 0.202 Ho
0.798 0.798 0.798 Ho
0.000 0.500 0.500 Cd
0.500 0.000 0.500 Cd
0.500 0.500 0.000 Cd
0.119 0.119 0.119 O
0.500 0.500 0.500 O
0.881 0.881 0.881 O
```

Calculated density, g/cm3: 6.9
Total moment, μB per formula unit: 0.00
Raw total energy, eV/atom: -4.17

=====

Li2HfAl2CuPd2: optimized geometry, PBE-GGA.

Structure (POSCAR):
```
Li2HfAl2CuPd2
1.0
4.404 0.000 0.000
0.000 4.404 0.000
0.000 0.000 6.187
Li Hf Al Cu Pd
2 1 2 1 2
Direct
0.000 0.500 0.212 Li
0.500 0.000 0.788 Li
0.000 0.000 0.500 Hf
0.000 0.000 0.000 Al
0.500 0.500 0.500 Al
0.500 0.500 0.000 Cu
0.000 0.500 0.746 Pd
0.500 0.000 0.254 Pd
```

Calculated density, g/cm3: 7.2
Total moment, μB per formula unit: 0.00
Raw total energy, eV/atom: -4.89

=====

Gd2BiPb4: optimized geometry, PBE-GGA.

Structure (POSCAR):
```
Gd2BiPb4
1.0
8.974 0.000 0.000
0.000 8.759 0.000
-0.112 0.000 5.759
Gd Bi Pb
4 2 8
Direct
0.169 0.000 0.318 Gd
0.331 0.500 0.682 Gd
0.669 0.500 0.318 Gd
0.831 0.000 0.682 Gd
0.000 0.500 0.500 Bi
0.500 0.000 0.500 Bi
0.132 0.201 0.806 Pb
0.132 0.799 0.806 Pb
0.368 0.299 0.194 Pb
0.368 0.701 0.194 Pb
0.632 0.299 0.806 Pb
0.632 0.701 0.806 Pb
0.868 0.201 0.194 Pb
0.868 0.799 0.194 Pb
```

Calculated density, g/cm3: 9.9
Total moment, μB per formula unit: 0.02
Raw total energy, eV/atom: -4.22

=====

La2HoNiSn3Ir2: optimized geometry, PBE-GGA.

Structure (POSCAR):
```
La2HoNiSn3Ir2
1.0
4.083 0.000 0.000
0.000 6.506 3.757
0.000 -6.506 3.757
La Ho Ni Sn Ir
2 1 1 3 2
Direct
0.000 0.208 0.792 La
0.000 0.792 0.208 La
0.000 0.381 0.381 Ho
0.000 0.784 0.784 Ni
0.500 0.040 0.040 Sn
0.500 0.545 0.786 Sn
0.500 0.786 0.545 Sn
0.500 0.130 0.454 Ir
0.500 0.454 0.130 Ir
```

Calculated density, g/cm3: 10.3
Total moment, μB per formula unit: 0.00
Raw total energy, eV/atom: -6.29

=====

Sr3HoCu: optimized geometry, PBE-GGA.

Structure (POSCAR):
```
Sr3HoCu
1.0
7.950 0.000 0.000
-3.975 6.885 0.000
0.000 0.000 7.522
Sr Ho Cu
6 2 2
Direct
0.000 0.500 0.245 Sr
0.000 0.500 0.755 Sr
0.500 0.000 0.245 Sr
0.500 0.000 0.755 Sr
0.500 0.500 0.245 Sr
0.500 0.500 0.755 Sr
0.000 0.000 0.233 Ho
0.000 0.000 0.767 Ho
0.333 0.667 0.500 Cu
0.667 0.333 0.500 Cu
```

Calculated density, g/cm3: 4.0
Total moment, μB per formula unit: 0.35
Raw total energy, eV/atom: -2.29